4
Lattice="2.846 0.000 0.000 0.000 2.846 0.000 0.000 0.000 7.037" Properties=species:S:1:pos:R:3 comment="AlRh2W PBE-GGA relaxed" energy_ev_per_atom=-8.4513 e_form_mev_per_atom=-602 pbc="T T T"
Al 0.000 0.000 0.000
Rh 1.423 1.423 1.625
Rh 1.423 1.423 5.412
W 0.000 0.000 3.519

3
Lattice="4.307 0.000 0.000 -2.153 3.730 0.000 0.000 0.000 2.770" Properties=species:S:1:pos:R:3 comment="AlRhW PBE-GGA relaxed" energy_ev_per_atom=-8.2690 e_form_mev_per_atom=-253 pbc="T T T"
Al 0.000 0.000 0.000
Rh 2.153 1.243 0.000
W 0.000 2.486 1.385

4
Lattice="-1.985 1.985 3.703 1.985 -1.985 3.703 1.985 1.985 -3.703" Properties=species:S:1:pos:R:3 comment="AlRh2W PBE-GGA relaxed" energy_ev_per_atom=-8.2515 e_form_mev_per_atom=-402 pbc="T T T"
Al 0.000 0.000 0.000
Rh 1.985 0.000 1.851
Rh 0.000 1.985 1.851
W 0.000 0.000 3.703

4
Lattice="0.000 3.089 3.089 3.089 0.000 3.089 3.089 3.089 0.000" Properties=species:S:1:pos:R:3 comment="AlRh2W PBE-GGA relaxed" energy_ev_per_atom=-7.9405 e_form_mev_per_atom=-91 pbc="T T T"
Al 0.000 0.000 0.000
Rh 1.544 1.544 1.544
Rh 3.089 3.089 3.089
W 4.633 4.633 4.633